Density functional theory data (PBE-GGA) for an optimized crystal structure of Ir.

Values from the calculation:
Distance to the lowest polymorph of the same formula in meV per atom: 329.8
Total magnetization in μB/atom: 0.00
Formation enthalpy at 0 K in eV/atom: 0.330
ρ in g cm⁻³: 21.4

Unit cell a=4.3737 b=4.3737 c=2.6948 alpha=90.00 beta=90.00 gamma=120.00
With the nearest neighbours (Å) after each atom.
Space group P6/mmm (No. 191)
Unique sites:
Ir 0.0000 0.0000 0.0000 (multiplicity 1)  14 Ir 2.69-2.86
Ir 0.3333 0.6667 0.5000 (multiplicity 2)  5 Ir 2.53-2.69

***

Density functional theory data (PBE-GGA) for an optimized crystal structure of Ir.

Values from the calculation:
Distance to the lowest polymorph of the same formula in meV per atom: 1005.2
Total magnetization in μB/atom: 0.00
Formation enthalpy at 0 K in eV/atom: 1.005
ρ in g cm⁻³: 15.0

Unit cell a=5.5479 b=5.5479 c=5.5479 alpha=90.00 beta=90.00 gamma=90.00
With the nearest neighbours (Å) after each atom.
Space group Fd-3m (No. 227, origin choice 2)
Unique sites:
Ir 0.1250 0.1250 0.1250 (multiplicity 8)  4 Ir 2.40

***

Density functional theory data (PBE-GGA) for an optimized crystal structure of Ir.

Values from the calculation:
Distance to the lowest polymorph of the same formula in meV per atom: 324.3
Total magnetization in μB/atom: 0.00
Formation enthalpy at 0 K in eV/atom: 0.324
ρ in g cm⁻³: 21.5

Unit cell a=9.5155 b=9.5155 c=9.5155 alpha=90.00 beta=90.00 gamma=90.00
With the nearest neighbours (Å) after each atom.
Space group I-43m (No. 217)
Unique sites:
Ir 0.0000 0.0000 0.0000 (multiplicity 2)  16 Ir 2.73-2.99
Ir 0.0520 0.3625 0.3625 (multiplicity 24)  12 Ir 2.61-2.92
Ir 0.0934 0.0934 0.2853 (multiplicity 24)  10 Ir 2.51-2.80
Ir 0.1659 0.1659 0.8341 (multiplicity 8)  10 Ir 2.71-2.80

***

Density functional theory data (PBE-GGA) for an optimized crystal structure of Ir.

Values from the calculation:
Distance to the lowest polymorph of the same formula in meV per atom: 47.3
Total magnetization in μB/atom: 0.00
Formation enthalpy at 0 K in eV/atom: 0.047
ρ in g cm⁻³: 22.1

Unit cell a=2.7340 b=2.7340 c=20.0810 alpha=90.00 beta=90.00 gamma=120.00
With the nearest neighbours (Å) after each atom.
Space group R-3m (No. 166, hexagonal axes)
Unique sites:
Ir 0.0000 0.0000 0.0000 (multiplicity 3)  12 Ir 2.72-2.73
Ir 0.0000 0.0000 0.2228 (multiplicity 6)  12 Ir 2.72-2.75

***

Density functional theory data (PBE-GGA) for an optimized crystal structure of Ir.

Values from the calculation:
Distance to the lowest polymorph of the same formula in meV per atom: 34.7
Total magnetization in μB/atom: 0.00
Formation enthalpy at 0 K in eV/atom: 0.035
ρ in g cm⁻³: 22.1

Unit cell a=2.7360 b=2.7360 c=8.9057 alpha=90.00 beta=90.00 gamma=120.00
With the nearest neighbours (Å) after each atom.
Space group P6_3/mmc (No. 194)
Unique sites:
Ir 0.0000 0.0000 0.0000 (multiplicity 2)  12 Ir 2.73-2.74
Ir 0.3333 0.6667 0.2500 (multiplicity 2)  12 Ir 2.73-2.74

***

Density functional theory data (PBE-GGA) for an optimized crystal structure of Ir.

Values from the calculation:
Distance to the lowest polymorph of the same formula in meV per atom: 33.4
Total magnetization in μB/atom: 0.00
Formation enthalpy at 0 K in eV/atom: 0.033
ρ in g cm⁻³: 22.4

Unit cell a=2.7568 b=2.7568 c=6.4839 alpha=90.00 beta=90.00 gamma=120.00
With the nearest neighbours (Å) after each atom.
Space group R-3m (No. 166, hexagonal axes)
Unique sites:
Ir 0.0000 0.0000 0.0000 (multiplicity 3)  12 Ir 2.68-2.76

***

Density functional theory data (PBE-GGA) for an optimized crystal structure of Ir.

Values from the calculation:
Distance to the lowest polymorph of the same formula in meV per atom: 204.2
Total magnetization in μB/atom: 0.00
Formation enthalpy at 0 K in eV/atom: 0.204
ρ in g cm⁻³: 14.8

Unit cell a=2.7109 b=2.7109 c=30.5944 alpha=90.00 beta=90.00 gamma=120.00
With the nearest neighbours (Å) after each atom.
Space group P-3m1 (No. 164)
Unique sites:
Ir 0.0000 0.0000 0.0000 (multiplicity 1)  12 Ir 2.71-2.74
Ir 0.0000 0.0000 0.2198 (multiplicity 2)  12 Ir 2.70-2.73
Ir 0.3333 0.6667 0.1469 (multiplicity 2)  12 Ir 2.71-2.74
Ir 0.3333 0.6667 0.7081 (multiplicity 2)  9 Ir 2.70-2.71
Ir 0.3333 0.6667 0.9265 (multiplicity 2)  12 Ir 2.71-2.74

***

Density functional theory data (PBE-GGA) for an optimized crystal structure of Ir.

Values from the calculation:
Distance to the lowest polymorph of the same formula in meV per atom: 509.5
Total magnetization in μB/atom: 0.00
Formation enthalpy at 0 K in eV/atom: 0.509
ρ in g cm⁻³: 21.4

Unit cell a=4.9247 b=4.9247 c=4.9247 alpha=90.00 beta=90.00 gamma=90.00
With the nearest neighbours (Å) after each atom.
Space group Pm-3n (No. 223)
Unique sites:
Ir 0.0000 0.0000 0.0000 (multiplicity 2)  12 Ir 2.75
Ir 0.0000 0.2500 0.5000 (multiplicity 6)  6 Ir 2.46-2.75

***

> Which of these has the highest ρ?

number 6

***

> The highest formation enthalpy at 0 K belongs to which entry?

number 2

***

What did the first record say?
Density functional theory data (PBE-GGA) for an optimized crystal structure of Ir.

Values from the calculation:
Distance to the lowest polymorph of the same formula in meV per atom: 329.8
Total magnetization in μB/atom: 0.00
Formation enthalpy at 0 K in eV/atom: 0.330
ρ in g cm⁻³: 21.4

Unit cell a=4.3737 b=4.3737 c=2.6948 alpha=90.00 beta=90.00 gamma=120.00
With the nearest neighbours (Å) after each atom.
Space group P6/mmm (No. 191)
Unique sites:
Ir 0.0000 0.0000 0.0000 (multiplicity 1)  14 Ir 2.69-2.86
Ir 0.3333 0.6667 0.5000 (multiplicity 2)  5 Ir 2.53-2.69

***

Repeat the seventh record exactly.
Density functional theory data (PBE-GGA) for an optimized crystal structure of Ir.

Values from the calculation:
Distance to the lowest polymorph of the same formula in meV per atom: 204.2
Total magnetization in μB/atom: 0.00
Formation enthalpy at 0 K in eV/atom: 0.204
ρ in g cm⁻³: 14.8

Unit cell a=2.7109 b=2.7109 c=30.5944 alpha=90.00 beta=90.00 gamma=120.00
With the nearest neighbours (Å) after each atom.
Space group P-3m1 (No. 164)
Unique sites:
Ir 0.0000 0.0000 0.0000 (multiplicity 1)  12 Ir 2.71-2.74
Ir 0.0000 0.0000 0.2198 (multiplicity 2)  12 Ir 2.70-2.73
Ir 0.3333 0.6667 0.1469 (multiplicity 2)  12 Ir 2.71-2.74
Ir 0.3333 0.6667 0.7081 (multiplicity 2)  9 Ir 2.70-2.71
Ir 0.3333 0.6667 0.9265 (multiplicity 2)  12 Ir 2.71-2.74